Below is Ba4SrLi after structural relaxation, with properties calculated at the PBE-GGA level.

Structure (POSCAR):
```
Ba4SrLi
1.0
-1.362 4.084 0.982
-0.983 -1.314 4.099
15.835 4.053 5.099
Ba Li Sr
4 1 1
Direct
0.000 0.000 0.375
0.500 0.500 0.182
0.500 0.500 0.818
0.000 0.000 0.625
0.500 0.500 0.500
0.000 0.000 0.000
```

Distance to the lowest polymorph of the same formula in eV per atom: 0.000
Volume in Å³ per cell: 333.8
DOS at the Fermi energy in states/eV/f.u.: 7.61
ΔE_f in eV per atom: 0.02
Uncorrected energy in eV for the cell shown: -11.1
SG: P4/mmm